1.
# Eu2PPb

A geometry-optimized Eu2PPb structure (PBE, the Alexandria database).

Cell lengths 8.9153, 8.9153, 8.9153 Å; angles 26.54, 26.54, 26.54 degrees
With the nearest neighbours (Å) after each atom.
Sites, in units of the cell vectors:
1 Eu 0.2312 0.2312 0.2312  3 P 2.89
2 Eu 0.7688 0.7688 0.7688  3 P 2.89
3 P 0.5000 0.5000 0.5000  6 Eu 2.89
4 Pb 0.0000 0.0000 0.0000  6 Eu 3.54

## Properties
E above lowest polymorph = 0 meV per atom
E_tot = -8.207 eV/atom
E_form = -3.16 eV/f.u.



2.
# K12CdAu6

A geometry-optimized K12CdAu6 structure (PBE, the Alexandria database).

Cell lengths 10.2034, 10.2034, 10.2034 Å; angles 109.47, 109.47, 109.47 degrees
With the nearest neighbours (Å) after each atom.
Sites, in units of the cell vectors:
1 K 0.1288 0.3070 0.8217  3 Au 3.28-3.41
2 K 0.1783 0.4853 0.3070  3 Au 3.28-3.41
3 K 0.1783 0.8712 0.6930  3 Au 3.28-3.41
4 K 0.3070 0.1783 0.4853  3 Au 3.28-3.41
5 K 0.3070 0.8217 0.1288  3 Au 3.28-3.41
6 K 0.4853 0.3070 0.1783  3 Au 3.28-3.41
7 K 0.5147 0.6930 0.8217  3 Au 3.28-3.41
8 K 0.6930 0.1783 0.8712  3 Au 3.28-3.41
9 K 0.6930 0.8217 0.5147  3 Au 3.28-3.41
10 K 0.8217 0.1288 0.3070  3 Au 3.28-3.41
11 K 0.8217 0.5147 0.6930  3 Au 3.28-3.41
12 K 0.8712 0.6930 0.1783  3 Au 3.28-3.41
13 Cd 0.0000 0.0000 0.0000  12 K 4.18
14 Au 0.1215 0.5000 0.6215  1 Au 2.86
15 Au 0.3785 0.8785 0.5000  1 Au 2.86
16 Au 0.5000 0.3785 0.8785  1 Au 2.86
17 Au 0.5000 0.6215 0.1215  1 Au 2.86
18 Au 0.6215 0.1215 0.5000  1 Au 2.86
19 Au 0.8785 0.5000 0.3785  1 Au 2.86

## Properties
E_tot = -1.979 eV/atom
E_form = -3.84 eV/f.u.



3.
# Pu2FeRh6

A geometry-optimized Pu2FeRh6 structure (PBE, the Alexandria database).

Cell lengths 5.5464, 5.5464, 5.7403 Å; angles 90.13, 90.13, 59.97 degrees
With the nearest neighbours (Å) after each atom.
Sites, in units of the cell vectors:
1 Pu 0.1667 0.1667 0.1720  9 Rh 2.89-3.19
2 Pu 0.8333 0.8333 0.8280  9 Rh 2.89-3.19
3 Fe 0.5000 0.5000 0.0000  6 Rh 2.45-2.46
4 Rh 0.1534 0.6734 0.3133  1 Fe 2.45, 4 Rh 2.66-2.71
5 Rh 0.3264 0.3264 0.6854  1 Fe 2.46, 4 Rh 2.66-2.71
6 Rh 0.3266 0.8466 0.6867  1 Fe 2.45, 4 Rh 2.66-2.71
7 Rh 0.6734 0.1534 0.3133  1 Fe 2.45, 4 Rh 2.66-2.71
8 Rh 0.6736 0.6736 0.3146  1 Fe 2.46, 4 Rh 2.66-2.71
9 Rh 0.8466 0.3266 0.6867  1 Fe 2.45, 4 Rh 2.66-2.71

## Properties
E_tot = -9.257 eV/atom
E_form = -2.08 eV/f.u.



4.
# CsZrTeSe2

A geometry-optimized CsZrTeSe2 structure (PBE, the Alexandria database).

Cell lengths 5.3648, 5.3648, 5.7493 Å; angles 90.00, 90.00, 90.00 degrees
With the nearest neighbours (Å) after each atom.
Sites, in units of the cell vectors:
1 Cs 0.0000 0.0000 0.0000  4 Te 3.79, 8 Se 3.93
2 Zr 0.5000 0.5000 0.5000  4 Se 2.68, 2 Te 2.87
3 Te 0.5000 0.5000 0.0000  2 Zr 2.87
4 Se 0.0000 0.5000 0.5000  2 Zr 2.68
5 Se 0.5000 0.0000 0.5000  2 Zr 2.68

## Properties
Energy relative to the elements, uncorrected = -0.99 eV/atom
E_tot = -4.888 eV/atom